# 1
PmScTe2O8: optimized geometry, GGA-PBE.

It has space group I-4m2 (No. 119), with a = 7.271 Å, b = 7.271 Å, c = 6.882 Å, α = 90.00°, β = 90.00° and γ = 90.00°. The inequivalent atoms are Pm at (0.000, 0.000, 0.000), Sc at (0.000, 0.500, 0.250), Te at (0.000, 0.000, 0.500), Te at (0.000, 0.500, 0.750), O at (0.000, 0.201, 0.296) and O at (0.000, 0.320, 0.945).

The calculation puts the density of states at the Fermi level at 1.17 states/eV/cell. The raw total energy is -158.12 eV/cell.

# 2
Tb6Y4Er19: optimized geometry, GGA-PBE.

It has space group I23 (No. 197), with a = 12.378 Å, b = 12.378 Å, c = 12.378 Å, α = 90.00°, β = 90.00° and γ = 90.00°. The inequivalent atoms are Tb at (0.000, 0.128, 0.500), Y at (0.179, 0.179, 0.179), Er at (0.000, 0.000, 0.000), Er at (0.000, 0.000, 0.261) and Er at (0.064, 0.277, 0.740).

The calculation puts the density of states at the Fermi level at 89.52 states/eV/cell. Its formation energy is 11.4 eV/f.u.

# 3
NbGa2Ge2: optimized geometry, GGA-PBE.

It has space group P4/mbm (No. 127), with a = 6.908 Å, b = 6.908 Å, c = 3.702 Å, α = 90.00°, β = 90.00° and γ = 90.00°. The inequivalent atoms are Nb at (0.000, 0.000, 0.000), Ga at (0.171, 0.329, 0.500) and Ge at (0.136, 0.636, 0.000).

The calculation puts the density of states at the Fermi level at 4.20 states/eV/cell. Its formation energy is 0.5 eV/f.u.

# 4
Ge2RuAu: optimized geometry, GGA-PBE.

It has space group Fm-3m (No. 225), with a = 6.384 Å, b = 6.384 Å, c = 6.384 Å, α = 90.00°, β = 90.00° and γ = 90.00°. The inequivalent atoms are Ge at (0.250, 0.250, 0.250), Ru at (0.000, 0.000, 0.000) and Au at (0.000, 0.000, 0.500).

The calculation puts the density of states at the Fermi level at 17.07 states/eV/cell. Its formation energy is 1.1 eV/f.u. The energy above the most stable polymorph in this dataset comes out at 1.57 eV/f.u.

# 5
MnAgW2: optimized geometry, GGA-PBE.

It has space group Cmmm (No. 65), with a = 5.424 Å, b = 8.477 Å, c = 2.693 Å, α = 90.00°, β = 90.00° and γ = 90.00°. The inequivalent atoms are Mn at (0.000, 0.000, 0.000), Ag at (0.000, 0.500, 0.000) and W at (0.250, 0.250, 0.500).

The calculation puts the density of states at the Fermi level at 7.49 states/eV/cell. Its formation energy is 2.2 eV/f.u. The energy above the most stable polymorph in this dataset comes out at 0.87 eV/f.u.

# 6
Sm4SiSnTe2: optimized geometry, GGA-PBE.

It has space group P2/m (No. 10), with a = 7.637 Å, b = 4.374 Å, c = 7.707 Å, α = 90.00°, β = 109.02° and γ = 90.00°. The inequivalent atoms are Sm at (0.232, 0.000, 0.226), Sm at (0.245, 0.500, 0.766), Si at (0.000, 0.500, 0.000), Sn at (0.500, 0.000, 0.000), Te at (0.000, 0.000, 0.500) and Te at (0.500, 0.500, 0.500).

The calculation puts the density of states at the Fermi level at 1.79 states/eV/cell. The raw total energy is -43.36 eV/cell.

# 7
Mn4OsBr: optimized geometry, GGA-PBE.

It has space group F-43m (No. 216), with a = 6.876 Å, b = 6.876 Å, c = 6.876 Å, α = 90.00°, β = 90.00° and γ = 90.00°. The inequivalent atoms are Mn at (0.124, 0.124, 0.124), Os at (0.250, 0.250, 0.750) and Br at (0.000, 0.000, 0.500).

The calculation puts the density of states at the Fermi level at 36.65 states/eV/cell. The raw total energy is -177.14 eV/cell.